Entry 1:
{"formula": "AlFe2Bi", "functional": "GGA-PBE", "state": "relaxed", "formation_enthalpy_0k_ev_per_atom": 0.3663, "e_above_lowest_polymorph_mev_per_atom": 0, "cell": [[6.1525, 0.0000, 0.0000], [0.0000, 6.1525, 0.0000], [0.0000, 0.0000, 6.1525]], "species": ["Al", "Al", "Al", "Al", "Fe", "Fe", "Fe", "Fe", "Fe", "Fe", "Fe", "Fe", "Bi", "Bi", "Bi", "Bi"], "frac_coords": [[0.0000, 0.0000, 0.0000], [0.0000, 0.5000, 0.5000], [0.5000, 0.0000, 0.5000], [0.5000, 0.5000, 0.0000], [0.2500, 0.2500, 0.2500], [0.2500, 0.2500, 0.7500], [0.2500, 0.7500, 0.2500], [0.2500, 0.7500, 0.7500], [0.7500, 0.2500, 0.2500], [0.7500, 0.2500, 0.7500], [0.7500, 0.7500, 0.2500], [0.7500, 0.7500, 0.7500], [0.0000, 0.0000, 0.5000], [0.0000, 0.5000, 0.0000], [0.5000, 0.0000, 0.0000], [0.5000, 0.5000, 0.5000]]}

=====

Entry 2:
{"formula": "AlFe2Bi", "functional": "GGA-PBE", "state": "relaxed", "formation_enthalpy_0k_ev_per_atom": 0.5291, "e_above_lowest_polymorph_mev_per_atom": 163, "cell": [[4.1154, 0.0000, 0.0000], [0.0000, 4.1154, 0.0000], [0.0000, 0.0000, 17.6526]], "species": ["Al", "Al", "Al", "Al", "Fe", "Fe", "Fe", "Fe", "Fe", "Fe", "Fe", "Fe", "Bi", "Bi", "Bi", "Bi"], "frac_coords": [[0.0000, 0.0000, 0.0000], [0.0000, 0.5000, 0.2500], [0.5000, 0.0000, 0.7500], [0.5000, 0.5000, 0.5000], [0.1665, 0.2500, 0.1250], [0.2500, 0.6665, 0.3750], [0.2500, 0.8335, 0.8750], [0.3335, 0.2500, 0.6250], [0.6665, 0.7500, 0.6250], [0.7500, 0.1665, 0.8750], [0.7500, 0.3335, 0.3750], [0.8335, 0.7500, 0.1250], [0.0000, 0.0000, 0.5000], [0.0000, 0.5000, 0.7500], [0.5000, 0.0000, 0.2500], [0.5000, 0.5000, 0.0000]]}

=====

Entry 3:
{"formula": "Al3FeBi", "functional": "GGA-PBE", "state": "relaxed", "formation_enthalpy_0k_ev_per_atom": 0.2156, "e_above_lowest_polymorph_mev_per_atom": 0, "cell": [[4.6563, 0.0000, 0.0000], [0.0000, 4.6563, 0.0000], [0.0000, 0.0000, 4.6563]], "species": ["Al", "Al", "Al", "Fe", "Bi"], "frac_coords": [[0.0000, 0.0000, 0.5000], [0.0000, 0.5000, 0.0000], [0.5000, 0.0000, 0.0000], [0.0000, 0.0000, 0.0000], [0.5000, 0.5000, 0.5000]]}

=====

Entry 4:
{"formula": "AlFe3Bi", "functional": "GGA-PBE", "state": "relaxed", "formation_enthalpy_0k_ev_per_atom": 1.5282, "e_above_lowest_polymorph_mev_per_atom": 686, "cell": [[4.9046, 0.0000, 0.0000], [0.0000, 4.9046, 0.0000], [0.0000, 0.0000, 4.9046]], "species": ["Al", "Fe", "Fe", "Fe", "Bi"], "frac_coords": [[0.0000, 0.0000, 0.0000], [0.0000, 0.5000, 0.5000], [0.5000, 0.0000, 0.5000], [0.5000, 0.5000, 0.0000], [0.5000, 0.5000, 0.5000]]}

=====

Entry 5:
{"formula": "AlFe3Bi", "functional": "GGA-PBE", "state": "relaxed", "formation_enthalpy_0k_ev_per_atom": 0.8425, "e_above_lowest_polymorph_mev_per_atom": 0, "cell": [[4.4671, 0.0000, 0.0000], [0.0000, 4.4671, 0.0000], [0.0000, 0.0000, 4.4671]], "species": ["Al", "Fe", "Fe", "Fe", "Bi"], "frac_coords": [[0.0000, 0.0000, 0.0000], [0.0000, 0.0000, 0.5000], [0.0000, 0.5000, 0.0000], [0.5000, 0.0000, 0.0000], [0.5000, 0.5000, 0.5000]]}

=====

Entry 6:
{"formula": "Al2Fe2Bi", "functional": "GGA-PBE", "state": "relaxed", "formation_enthalpy_0k_ev_per_atom": 0.1889, "cell": [[7.1217, 0.0000, 0.0000], [0.0000, 7.1217, 0.0000], [0.0000, 0.0000, 3.1539]], "species": ["Al", "Al", "Al", "Al", "Fe", "Fe", "Fe", "Fe", "Bi", "Bi"], "frac_coords": [[0.1372, 0.3628, 0.0000], [0.3628, 0.8628, 0.0000], [0.6372, 0.1372, 0.0000], [0.8628, 0.6372, 0.0000], [0.1476, 0.6476, 0.5000], [0.3524, 0.1476, 0.5000], [0.6476, 0.8524, 0.5000], [0.8524, 0.3524, 0.5000], [0.0000, 0.0000, 0.5000], [0.5000, 0.5000, 0.5000]]}

=====

Entry 7:
{"formula": "AlInFe2Bi", "functional": "GGA-PBE", "state": "relaxed", "formation_enthalpy_0k_ev_per_atom": 1.1736, "cell": [[4.9272, 0.0000, 0.0000], [0.0000, 4.9272, 0.0000], [0.0000, 0.0000, 4.9735]], "species": ["Al", "In", "Fe", "Fe", "Bi"], "frac_coords": [[0.0000, 0.0000, 0.0000], [0.0000, 0.0000, 0.5000], [0.0000, 0.5000, 0.5000], [0.5000, 0.0000, 0.5000], [0.5000, 0.5000, 0.0000]]}

=====

Entry 8:
{"formula": "La2AlFeBi", "functional": "GGA-PBE", "state": "relaxed", "formation_enthalpy_0k_ev_per_atom": -0.4660, "cell": [[5.2203, 0.0000, 0.0000], [0.0000, 5.2203, 0.0000], [0.0000, 0.0000, 4.7774]], "species": ["La", "La", "Al", "Fe", "Bi"], "frac_coords": [[0.0000, 0.5000, 0.0000], [0.5000, 0.0000, 0.0000], [0.0000, 0.0000, 0.5000], [0.0000, 0.0000, 0.0000], [0.5000, 0.5000, 0.5000]]}

=====

| no. | theoretical density (Mg/m³) | calculated volume (Å³/cell) |
| --- | --- | --- |
| 1 | 9.92 | 232.9 |
| 2 | 7.72 | 299.0 |
| 3 | 5.69 | 101.0 |
| 4 | 5.68 | 118.0 |
| 5 | 7.52 | 89.1 |
| 6 | 7.78 | 160.0 |
| 7 | 6.36 | 120.7 |
| 8 | 7.27 | 130.2 |